# PBE KAlIr2, relaxed
data_KAlIr2
_chemical_formula_sum 'K1 Al1 Ir2'
_cell_length_a 2.853
_cell_length_b 4.754
_cell_length_c 5.065
_cell_angle_alpha 90.00
_cell_angle_beta 90.00
_cell_angle_gamma 90.00
_space_group_name_H-M_alt 'P m m m'
_space_group_IT_number 47
_space_group_name_Hall '-P 2 2'
loop_
_atom_site_label
_atom_site_type_symbol
_atom_site_fract_x
_atom_site_fract_y
_atom_site_fract_z
K1 K 0.000 0.000 0.000
Al1 Al 0.500 0.000 0.500
Ir1 Ir 0.000 0.500 0.500
Ir2 Ir 0.500 0.500 0.000
# Raw total energy: -4.953 eV/atom
# Energy relative to the elements: 0.688 eV per atom
# Spin magnetization: 0.0 μB per cell